1.
# La2As3Pd4Pt

Crystalline La2As3Pd4Pt at its relaxed geometry (PBE, the Alexandria database).

Results
total energy = -59.061 eV/cell
E_form = -0.84 eV per atom

a b c (Å): 4.2758 4.2758 10.8747
angles (deg): 90.00 90.00 90.00
Fractional coordinates of all 10 atoms:
La  0.0000  0.5000  0.2425
La  0.5000  0.0000  0.7575
As  0.0000  0.0000  0.0000
As  0.0000  0.5000  0.6275
As  0.5000  0.0000  0.3725
Pd  0.0000  0.0000  0.5000
Pd  0.0000  0.5000  0.8499
Pd  0.5000  0.0000  0.1501
Pd  0.5000  0.5000  0.5000
Pt  0.5000  0.5000  0.0000

2.
# Mo3Ru2

Crystalline Mo3Ru2 at its relaxed geometry (PBE, the Alexandria database).

Results
energy relative to the lowest polymorph listed for this composition = 118.3 meV/atom
total energy = -100.651 eV/cell
E_form = 0.14 eV per atom

a b c (Å): 7.1027 5.2793 8.1432
angles (deg): 59.43 39.79 80.79
Fractional coordinates of all 10 atoms:
Mo  0.0000  0.0000  0.0000
Mo  0.2500  0.2500  0.2500
Mo  0.4333  0.5257  0.3598
Mo  0.5257  0.4333  0.6811
Mo  0.5689  0.8902  0.7243
Mo  0.8902  0.5689  0.8167
Ru  0.1078  0.7700  0.2906
Ru  0.4184  0.9594  0.4800
Ru  0.7700  0.1078  0.8316
Ru  0.9594  0.4184  0.1422

3.
# IrSeI2O

Crystalline IrSeI2O at its relaxed geometry (PBE, the Alexandria database).

Results
formation energy (no corrections) = 0.23 eV per atom
energy relative to the lowest polymorph listed for this composition = 0.0 meV/atom
total energy = -19.275 eV/cell

a b c (Å): 5.6267 5.6267 3.7369
angles (deg): 90.00 90.00 90.00
Fractional coordinates of all 5 atoms:
Ir  0.0000  0.0000  0.0000
Se  0.5000  0.5000  0.5000
I  0.0000  0.5000  0.0000
I  0.5000  0.0000  0.0000
O  0.0000  0.0000  0.5000

Which formula does entry 1 have?
La2As3Pd4Pt